Here is an optimized crystal structure of YLuPO from OQMD. Energies are from PBE.

Output
Its space group is No. 129. The calculation puts the energy at -7.2772 eV per atom. Its volume is 154.8 Å³/cell.

a b c (Å): 4.273 4.273 8.480
angles (deg): 90.00 90.00 90.00
Atoms (fractional coordinates):
Y 0.250 0.250 0.107
Y 0.750 0.750 0.893
Lu 0.250 0.750 0.500
Lu 0.750 0.250 0.500
P 0.250 0.250 0.690
P 0.750 0.750 0.310
O 0.250 0.750 0.000
O 0.750 0.250 0.000